[1]
TbZnSi meta-GGA SCAN PBEsol geometry; E_form (uncorrected) = -0.699 eV/atom
1.0
4.064 0.000 0.000
-2.032 3.520 0.000
0.000 0.000 4.001
Tb Zn Si
1 1 1
direct
0.000 0.000 0.000 Tb
0.667 0.333 0.500 Zn
0.333 0.667 0.500 Si

=====

[2]
Si3Tc4 meta-GGA SCAN PBEsol geometry; E_form (uncorrected) = -0.424 eV/atom
1.0
3.015 0.000 0.000
0.000 3.015 0.000
0.000 0.000 20.058
Si Tc
6 8
direct
0.000 0.000 0.000 Si
0.000 0.000 0.285 Si
0.000 0.000 0.715 Si
0.500 0.500 0.215 Si
0.500 0.500 0.500 Si
0.500 0.500 0.785 Si
0.000 0.000 0.157 Tc
0.000 0.000 0.431 Tc
0.000 0.000 0.569 Tc
0.000 0.000 0.843 Tc
0.500 0.500 0.069 Tc
0.500 0.500 0.343 Tc
0.500 0.500 0.657 Tc
0.500 0.500 0.931 Tc

=====

[3]
Si5Tc meta-GGA SCAN PBEsol geometry; E_form (uncorrected) = 0.320 eV/atom
1.0
4.304 0.000 0.000
0.000 11.329 0.000
0.000 0.000 3.319
Si Tc
10 2
direct
0.000 0.000 0.000 Si
0.000 0.149 0.500 Si
0.000 0.318 0.000 Si
0.000 0.682 0.000 Si
0.000 0.851 0.500 Si
0.500 0.182 0.000 Si
0.500 0.351 0.500 Si
0.500 0.500 0.000 Si
0.500 0.649 0.500 Si
0.500 0.818 0.000 Si
0.000 0.500 0.500 Tc
0.500 0.000 0.500 Tc

=====

[4]
SiTc2 meta-GGA SCAN PBEsol geometry; E_form (uncorrected) = -0.469 eV/atom; ΔE to the lowest computed polymorph = 0 meV per atom
1.0
2.902 0.000 0.000
0.000 2.902 0.000
0.000 0.000 9.285
Si Tc
2 4
direct
0.000 0.000 0.000 Si
0.500 0.500 0.500 Si
0.000 0.000 0.341 Tc
0.000 0.000 0.659 Tc
0.500 0.500 0.159 Tc
0.500 0.500 0.841 Tc

=====

[5]
SiTc meta-GGA SCAN PBEsol geometry; E_form (uncorrected) = -0.517 eV/atom; ΔE to the lowest computed polymorph = 30 meV per atom
1.0
3.142 0.000 0.000
-1.571 2.721 0.000
0.000 0.000 3.222
Si Tc
1 1
direct
0.000 0.000 0.000 Si
0.333 0.667 0.500 Tc

=====

[6]
SiTc2 meta-GGA SCAN PBEsol geometry; E_form (uncorrected) = -0.363 eV/atom; ΔE to the lowest computed polymorph = 106 meV per atom
1.0
5.806 0.000 0.000
0.000 5.806 0.000
0.000 0.000 4.726
Si Tc
4 8
direct
0.000 0.000 0.250 Si
0.000 0.000 0.750 Si
0.500 0.500 0.250 Si
0.500 0.500 0.750 Si
0.150 0.350 0.000 Tc
0.150 0.650 0.500 Tc
0.350 0.150 0.500 Tc
0.350 0.850 0.000 Tc
0.650 0.150 0.000 Tc
0.650 0.850 0.500 Tc
0.850 0.350 0.500 Tc
0.850 0.650 0.000 Tc

=====

[7]
SiTc meta-GGA SCAN PBEsol geometry; E_form (uncorrected) = -0.075 eV/atom; ΔE to the lowest computed polymorph = 472 meV per atom
1.0
3.731 0.000 0.000
-1.866 3.231 0.000
0.000 0.000 4.751
Si Tc
2 2
direct
0.000 0.000 0.000 Si
0.000 0.000 0.500 Si
0.333 0.667 0.250 Tc
0.667 0.333 0.750 Tc

=====

[8]
SiTc meta-GGA SCAN PBEsol geometry; E_form (uncorrected) = -0.516 eV/atom; ΔE to the lowest computed polymorph = 31 meV per atom
1.0
3.053 0.000 0.000
0.000 8.662 0.000
0.000 0.000 3.977
Si Tc
4 4
direct
0.000 0.089 0.250 Si
0.000 0.911 0.750 Si
0.500 0.411 0.750 Si
0.500 0.589 0.250 Si
0.000 0.366 0.250 Tc
0.000 0.634 0.750 Tc
0.500 0.134 0.750 Tc
0.500 0.866 0.250 Tc

=====

[9]
SiTc2 meta-GGA SCAN PBEsol geometry; E_form (uncorrected) = -0.324 eV/atom; ΔE to the lowest computed polymorph = 145 meV per atom
1.0
9.060 0.000 0.000
0.000 2.891 0.000
-0.983 0.000 6.224
Si Tc
4 8
direct
0.000 0.000 0.000 Si
0.239 0.500 0.397 Si
0.500 0.500 0.000 Si
0.739 0.000 0.397 Si
0.071 0.000 0.626 Tc
0.221 0.500 0.003 Tc
0.347 0.000 0.714 Tc
0.452 0.000 0.297 Tc
0.571 0.500 0.626 Tc
0.721 0.000 0.003 Tc
0.847 0.500 0.714 Tc
0.952 0.500 0.297 Tc

=====

[10]
SiTc5 meta-GGA SCAN PBEsol geometry; E_form (uncorrected) = -0.197 eV/atom; ΔE to the lowest computed polymorph = 0 meV per atom
1.0
9.436 0.000 0.000
0.000 2.866 0.000
-2.283 0.000 6.014
Si Tc
2 10
direct
0.000 0.000 0.000 Si
0.500 0.500 0.000 Si
0.000 0.000 0.500 Tc
0.151 0.500 0.848 Tc
0.173 0.500 0.317 Tc
0.327 0.000 0.683 Tc
0.349 0.000 0.152 Tc
0.500 0.500 0.500 Tc
0.651 0.000 0.848 Tc
0.673 0.000 0.317 Tc
0.827 0.500 0.683 Tc
0.849 0.500 0.152 Tc

=====

[11]
SiTc2 meta-GGA SCAN PBEsol geometry; E_form (uncorrected) = 0.536 eV/atom; ΔE to the lowest computed polymorph = 1005 meV per atom
1.0
0.000 3.545 3.545
3.545 0.000 3.545
3.545 3.545 0.000
Si Tc
2 4
direct
0.125 0.125 0.125 Si
0.875 0.875 0.875 Si
0.000 0.500 0.500 Tc
0.500 0.000 0.500 Tc
0.500 0.500 0.000 Tc
0.500 0.500 0.500 Tc

=====

[12]
SiTc meta-GGA SCAN PBEsol geometry; E_form (uncorrected) = -0.073 eV/atom; ΔE to the lowest computed polymorph = 474 meV per atom
1.0
2.844 0.000 0.000
-1.422 2.463 0.000
0.000 0.000 23.388
Si Tc
6 6
direct
0.000 0.000 0.124 Si
0.000 0.000 0.876 Si
0.333 0.667 0.543 Si
0.333 0.667 0.791 Si
0.667 0.333 0.209 Si
0.667 0.333 0.457 Si
0.000 0.000 0.377 Tc
0.000 0.000 0.623 Tc
0.333 0.667 0.044 Tc
0.333 0.667 0.289 Tc
0.667 0.333 0.711 Tc
0.667 0.333 0.956 Tc